[1]
Computed, not measured: a crystal of Tl2ReRu relaxed with PBEsol at the meta-GGA SCAN level of DFT.

## Properties
- Energy of formation: 1.062 eV/atom
- Space group: Immm (71)
- Energy relative to the lowest polymorph listed for this composition: 31 meV per atom
- Crystal system: orthorhombic
- Magnetization: 1.4 μB per formula unit

a = 3.024 Å, b = 5.132 Å, c = 5.502 Å
α = 117.80°, β = 105.95°, γ = 90.00°
Site moments in Bohr magnetons follow the coordinates.
Fractional coordinates of all 4 atoms:
Tl 0.244 0.244 0.487  -0.01
Tl 0.756 0.756 0.513  -0.01
Re 0.000 0.500 0.000  0.93
Ru 0.500 0.000 0.000  0.31



[2]
Computed, not measured: a crystal of Y2Mg relaxed with PBEsol at the meta-GGA SCAN level of DFT.

## Properties
- Energy of formation: -0.005 eV/atom
- Space group: Fd-3m (227)
- Crystal system: cubic
- Magnetization: 0.0 μB per formula unit

a = 9.923 Å, b = 9.923 Å, c = 9.923 Å
α = 60.00°, β = 60.00°, γ = 60.00°
Fractional coordinates of all 24 atoms:
Mg 0.414 0.414 0.758
Mg 0.414 0.758 0.414
Mg 0.492 0.836 0.836
Mg 0.414 0.414 0.414
Mg 0.836 0.836 0.836
Mg 0.836 0.836 0.492
Mg 0.836 0.492 0.836
Mg 0.758 0.414 0.414
Y 0.815 0.815 0.185
Y 0.185 0.815 0.815
Y 0.435 0.065 0.435
Y 0.815 0.185 0.185
Y 0.065 0.435 0.435
Y 0.625 0.625 0.125
Y 0.065 0.435 0.065
Y 0.435 0.435 0.065
Y 0.065 0.065 0.435
Y 0.185 0.815 0.185
Y 0.625 0.625 0.625
Y 0.125 0.625 0.625
Y 0.625 0.125 0.625
Y 0.435 0.065 0.065
Y 0.185 0.185 0.815
Y 0.815 0.185 0.815



[3]
Computed, not measured: a crystal of HgOsSeO2 relaxed with PBEsol at the meta-GGA SCAN level of DFT.

## Properties
- Raw formation energy: 0.994 eV per atom
- Space group: P4/mmm (123)
- Crystal system: tetragonal
- Magnetization: 2.9 μB per formula unit

a = 3.779 Å, b = 3.779 Å, c = 6.093 Å
α = 90.00°, β = 90.00°, γ = 90.00°
Site moments in Bohr magnetons follow the coordinates.
Fractional coordinates of all 5 atoms:
Os 0.500 0.500 0.500  2.44
O 0.000 0.500 0.000  0.02
O 0.500 0.000 0.000  0.02
Se 0.000 0.000 0.000  0.04
Hg 0.000 0.000 0.500  -0.02



[4]
Computed, not measured: a crystal of K2WC relaxed with PBEsol at the meta-GGA SCAN level of DFT.

## Properties
- Energy of formation: 1.231 eV/atom
- Space group: I-42d (122)
- Crystal system: tetragonal
- Magnetization: 2.3 μB per formula unit

a = 4.001 Å, b = 8.819 Å, c = 8.819 Å
α = 87.05°, β = 76.89°, γ = 76.89°
Site moments in Bohr magnetons follow the coordinates.
Fractional coordinates of all 8 atoms:
K 0.375 0.263 0.237  0.01
K 0.875 0.737 0.763  0.01
K 0.362 0.763 0.263  0.01
K 0.388 0.237 0.737  0.01
W 0.000 0.000 0.000  1.83
W 0.750 0.500 0.500  1.83
C 0.250 0.500 0.500  -0.16
C 0.500 0.000 0.000  -0.16



[5]
Computed, not measured: a crystal of Ca3SnRu relaxed with PBEsol at the meta-GGA SCAN level of DFT.

## Properties
- Energy of formation: 0.675 eV/atom
- Space group: Pm-3m (221)
- Crystal system: cubic
- Magnetization: 2.1 μB per formula unit

a = 5.735 Å, b = 5.735 Å, c = 5.735 Å
α = 90.00°, β = 90.00°, γ = 90.00°
Site moments in Bohr magnetons follow the coordinates.
Fractional coordinates of all 5 atoms:
Ca 0.000 0.500 0.000  -0.03
Ca 0.500 0.000 0.000  -0.03
Ca 0.000 0.000 0.500  -0.03
Sn 0.000 0.000 0.000  0.07
Ru 0.500 0.500 0.500  2.49



[6]
Computed, not measured: a crystal of BaLaCuRuO6 relaxed with PBEsol at the meta-GGA SCAN level of DFT.

## Properties
- Raw formation energy: -2.179 eV per atom
- Space group: I-4 (82)
- Crystal system: tetragonal
- Magnetization: 2.0 μB per formula unit

a = 5.401 Å, b = 5.729 Å, c = 5.401 Å
α = 61.87°, β = 90.00°, γ = 118.13°
Site moments in Bohr magnetons follow the coordinates.
Fractional coordinates of all 10 atoms:
O 0.079 0.552 0.522  0.07
O 0.925 0.448 0.079  0.07
O 0.473 0.552 0.925  0.07
O 0.522 0.448 0.473  0.07
O 0.480 0.961 0.020  0.13
O 0.020 0.039 0.480  0.13
La 0.500 0.000 0.500  0.02
Ru 0.250 0.500 0.250  1.85
Cu 0.750 0.500 0.750  -0.59
Ba 0.000 0.000 0.000  0.01